TeAsCl2 | Alexandria via LeMat-Bulk | meta-GGA SCAN | single point on PBEsol structure; offset from the most stable computed form = 0 meV per atom; energy = -18.34 eV per atom; calculated density = 5.0 Mg/m³; uncorrected formation energy = 0.0132 eV/atom
1.0
1.618 0.934 9.923
-1.618 0.934 9.923
0.000 -1.868 9.923
Te As Cl
1 1 2
direct
0.000 0.000 0.000
0.500 0.500 0.500
0.422 0.422 0.422
0.578 0.578 0.578